[1]
# Ho4CuTe2Se

An optimized crystal structure of Ho4CuTe2Se (PBE-GGA, Alexandria).

Values from the calculation:
For the total energy, the calculation gives -5.1551 eV per atom. For the spin magnetization, the calculation gives 0.000 μB per cell. The uncorrected formation energy comes out at -1.133 eV per atom. The crystal system is monoclinic.

abc: 4.0697 7.3547 7.3958
angles: 108.13 90.00 90.00
Element x y z (fractional)
Ho 0.5000 0.2486 0.2227
Ho 0.5000 0.7514 0.7773
Ho 0.0000 0.2732 0.7847
Ho 0.0000 0.7268 0.2153
Cu 0.5000 0.5000 0.0000
Te 0.5000 0.0000 0.5000
Te 0.0000 0.5000 0.5000
Se 0.0000 0.0000 0.0000

***

[2]
# PrErTm2Se6

An optimized crystal structure of PrErTm2Se6 (PBE-GGA, Alexandria).

Values from the calculation:
For the total energy, the calculation gives -5.7537 eV per atom. For the spin magnetization, the calculation gives 0.000 μB per cell. The uncorrected formation energy comes out at -1.834 eV per atom. The crystal system is trigonal.

abc: 7.2295 7.2294 7.6855
angles: 61.94 61.94 59.99
Element x y z (fractional)
Pr 0.8108 0.8108 0.5675
Er 0.3182 0.3182 0.0454
Tm 0.5150 0.5150 0.4551
Tm 0.0106 0.0106 0.9682
Se 0.6120 0.2308 0.2451
Se 0.2308 0.9120 0.2451
Se 0.9121 0.6120 0.2452
Se 0.3895 0.7280 0.7478
Se 0.7280 0.1345 0.7479
Se 0.1346 0.3896 0.7479

***

[3]
# KLiMg6O7

An optimized crystal structure of KLiMg6O7 (PBE-GGA, Alexandria).

Values from the calculation:
For the total energy, the calculation gives -5.1833 eV per atom. For the spin magnetization, the calculation gives 0.072 μB per cell. The uncorrected formation energy comes out at -2.031 eV per atom. The crystal system is tetragonal. The relative energy among the computed polymorphs comes out at 0.021 eV per atom.

abc: 4.1590 4.1590 11.0803
angles: 90.00 90.00 90.00
Element x y z (fractional)
K 0.0000 0.0000 0.9615
Li 0.0000 0.0000 0.4701
Mg 0.5000 0.5000 0.0871
Mg 0.5000 0.5000 0.4944
Mg 0.0000 0.5000 0.2843
Mg 0.0000 0.5000 0.6686
Mg 0.5000 0.0000 0.2843
Mg 0.5000 0.0000 0.6686
O 0.0000 0.0000 0.2956
O 0.0000 0.0000 0.7036
O 0.5000 0.5000 0.6772
O 0.0000 0.5000 0.1028
O 0.0000 0.5000 0.4745
O 0.5000 0.0000 0.1028
O 0.5000 0.0000 0.4745

***

[4]
# Tb8NiAg2

An optimized crystal structure of Tb8NiAg2 (PBE-GGA, Alexandria).

Values from the calculation:
For the total energy, the calculation gives -4.5495 eV per atom. For the spin magnetization, the calculation gives 0.000 μB per cell. The formation energy from the elements is -1.52 eV/f.u. The crystal system is monoclinic.

abc: 5.2122 6.8005 9.1183
angles: 105.12 106.61 90.00
Element x y z (fractional)
Tb 0.4110 0.5634 0.8220
Tb 0.6567 0.9691 0.3134
Tb 0.7986 0.6871 0.5972
Tb 0.9736 0.2152 0.9472
Tb 0.2014 0.3129 0.4028
Tb 0.3433 0.0309 0.6866
Tb 0.5890 0.4366 0.1780
Tb 0.0264 0.7848 0.0528
Ni 0.5000 0.0000 0.0000
Ag 0.8132 0.2719 0.6263
Ag 0.1868 0.7281 0.3737